Entry 1:
This record from the Alexandria database describes a relaxed structure of SrNiTe2Au. The functional is PBE-GGA.

Properties
Energy relative to the elements, uncorrected: -0.769 eV/f.u.
Crystal system: tetragonal

Unit cell a=5.560 b=5.560 c=4.790 alpha=90.00 beta=90.00 gamma=90.00
Space group P4/mmm (No. 123)
Inequivalent atoms, fractional coordinates:
Sr (0.000, 0.000, 0.000) (multiplicity 1)
Ni (0.500, 0.500, 0.000) (multiplicity 1)
Te (0.000, 0.500, 0.500) (multiplicity 2)
Au (0.500, 0.500, 0.500) (multiplicity 1)

=====

Entry 2:
This record from the Alexandria database describes a relaxed structure of TiAgO2. The functional is PBE-GGA.

Properties
Energy relative to the elements, uncorrected: -3.765 eV/f.u.
Crystal system: cubic

Unit cell a=5.583 b=5.583 c=5.583 alpha=90.00 beta=90.00 gamma=90.00
Space group Fm-3m (No. 225)
Inequivalent atoms, fractional coordinates:
Ti (0.000, 0.000, 0.000) (multiplicity 4)
Ag (0.000, 0.000, 0.500) (multiplicity 4)
O (0.250, 0.250, 0.250) (multiplicity 8)

=====

Entry 3:
This record from the Alexandria database describes a relaxed structure of TlSi2Ag. The functional is PBE-GGA.

Properties
Energy relative to the elements, uncorrected: 1.422 eV/f.u.
Crystal system: monoclinic

Unit cell a=3.859 b=4.511 c=5.404 alpha=90.00 beta=95.64 gamma=90.00
Space group P2/m (No. 10)
Inequivalent atoms, fractional coordinates:
Tl (0.000, 0.000, 0.000) (multiplicity 1)
Si (0.261, 0.500, 0.636) (multiplicity 2)
Ag (0.500, 0.000, 0.500) (multiplicity 1)

=====

Entry 4:
This record from the Alexandria database describes a relaxed structure of Y2InAs. The functional is PBE-GGA.

Properties
DFT formation energy: -613 meV/atom
Crystal system: tetragonal

Unit cell a=7.978 b=7.978 c=6.942 alpha=90.00 beta=90.00 gamma=90.00
Space group I-42d (No. 122)
Inequivalent atoms, fractional coordinates:
Y (0.222, 0.250, 0.125) (multiplicity 8)
In (0.000, 0.000, 0.500) (multiplicity 4)
As (0.000, 0.000, 0.000) (multiplicity 4)

=====

Entry 5:
This record from the Alexandria database describes a relaxed structure of NdBeZn2. The functional is PBE-GGA.

Properties
DFT formation energy: -144 meV/atom
Crystal system: trigonal

Unit cell a=4.0750 b=4.0750 c=15.6603 alpha=90.00 beta=90.00 gamma=120.00
Space group R-3m (No. 166, hexagonal axes)
Inequivalent atoms, fractional coordinates:
Nd (0.0000, 0.0000, 0.0000) (multiplicity 3)
Be (0.0000, 0.0000, 0.5000) (multiplicity 3)
Zn (0.0000, 0.0000, 0.2028) (multiplicity 6)

=====

Entry 6:
This record from the Alexandria database describes a relaxed structure of DyScZnSi. The functional is PBE-GGA.

Properties
Energy relative to the elements, uncorrected: -1.848 eV/f.u.
Crystal system: cubic

Unit cell a=6.827 b=6.827 c=6.827 alpha=90.00 beta=90.00 gamma=90.00
Space group F-43m (No. 216)
Inequivalent atoms, fractional coordinates:
Dy (0.000, 0.000, 0.000) (multiplicity 4)
Sc (0.000, 0.000, 0.500) (multiplicity 4)
Zn (0.250, 0.250, 0.750) (multiplicity 4)
Si (0.250, 0.250, 0.250) (multiplicity 4)

=====

Entry 7:
This record from the Alexandria database describes a relaxed structure of AcMnH6. The functional is PBE-GGA.

Properties
Crystal system: cubic
DFT total energy: -33.37 eV per formula unit

Unit cell a=7.843 b=7.843 c=7.843 alpha=90.00 beta=90.00 gamma=90.00
Space group Fm-3m (No. 225)
Inequivalent atoms, fractional coordinates:
Ac (0.000, 0.000, 0.000) (multiplicity 4)
Mn (0.000, 0.000, 0.500) (multiplicity 4)
H (0.000, 0.000, 0.295) (multiplicity 24)

=====

Entry 8:
This record from the Alexandria database describes a relaxed structure of LaEr4Tm15. The functional is PBE-GGA.

Properties
DFT formation energy: 30 meV/atom
Crystal system: tetragonal

Unit cell a=4.955 b=4.955 c=24.802 alpha=90.00 beta=90.00 gamma=90.00
Space group P4/mmm (No. 123)
Inequivalent atoms, fractional coordinates:
La (0.000, 0.000, 0.000) (multiplicity 1)
Er (0.000, 0.000, 0.202) (multiplicity 2)
Er (0.000, 0.000, 0.401) (multiplicity 2)
Tm (0.000, 0.500, 0.103) (multiplicity 4)
Tm (0.000, 0.500, 0.301) (multiplicity 4)
Tm (0.000, 0.500, 0.500) (multiplicity 2)
Tm (0.500, 0.500, 0.000) (multiplicity 1)
Tm (0.500, 0.500, 0.203) (multiplicity 2)
Tm (0.500, 0.500, 0.401) (multiplicity 2)

=====

Entry 9:
This record from the Alexandria database describes a relaxed structure of B5C7. The functional is PBE-GGA.

Properties
DFT formation energy: 346 meV/atom
Crystal system: monoclinic

Unit cell a=12.824 b=2.598 c=4.730 alpha=90.00 beta=104.67 gamma=90.00
Space group Cm (No. 8)
Inequivalent atoms, fractional coordinates:
B (0.000, 0.000, 0.000) (multiplicity 2)
B (0.031, 0.500, 0.236) (multiplicity 2)
B (0.138, 0.000, 0.235) (multiplicity 2)
B (0.202, 0.500, 0.052) (multiplicity 2)
B (0.368, 0.000, 0.023) (multiplicity 2)
C (0.037, 0.500, 0.574) (multiplicity 2)
C (0.158, 0.500, 0.707) (multiplicity 2)
C (0.200, 0.000, 0.586) (multiplicity 2)
C (0.322, 0.000, 0.657) (multiplicity 2)
C (0.330, 0.500, 0.190) (multiplicity 2)
C (0.363, 0.500, 0.528) (multiplicity 2)
C (0.485, 0.500, 0.661) (multiplicity 2)

=====

Entry 10:
This record from the Alexandria database describes a relaxed structure of Nd3Ga4Au2. The functional is PBE-GGA.

Properties
DFT formation energy: -740 meV/atom
Crystal system: monoclinic

Unit cell a=11.027 b=4.584 c=8.660 alpha=90.00 beta=111.23 gamma=90.00
Space group C2/m (No. 12)
Inequivalent atoms, fractional coordinates:
Nd (0.000, 0.000, 0.000) (multiplicity 2)
Nd (0.173, 0.500, 0.656) (multiplicity 4)
Ga (0.027, 0.000, 0.364) (multiplicity 4)
Ga (0.241, 0.500, 0.076) (multiplicity 4)
Au (0.102, 0.500, 0.272) (multiplicity 4)

=====

Entry 11:
This record from the Alexandria database describes a relaxed structure of SrMn2WSe. The functional is PBE-GGA.

Properties
Energy relative to the elements, uncorrected: 5.511 eV/f.u.
Crystal system: tetragonal

Unit cell a=4.688 b=4.688 c=5.655 alpha=90.00 beta=90.00 gamma=90.00
Space group P4/mmm (No. 123)
Inequivalent atoms, fractional coordinates:
Sr (0.000, 0.000, 0.000) (multiplicity 1)
Mn (0.000, 0.500, 0.500) (multiplicity 2)
W (0.500, 0.500, 0.000) (multiplicity 1)
Se (0.000, 0.000, 0.500) (multiplicity 1)

=====

Entry 12:
This record from the Alexandria database describes a relaxed structure of CsNiRh2. The functional is PBE-GGA.

Properties
DFT formation energy: 1236 meV/atom
Crystal system: cubic

Unit cell a=6.651 b=6.651 c=6.651 alpha=90.00 beta=90.00 gamma=90.00
Space group Fm-3m (No. 225)
Inequivalent atoms, fractional coordinates:
Cs (0.000, 0.000, 0.000) (multiplicity 4)
Ni (0.000, 0.000, 0.500) (multiplicity 4)
Rh (0.250, 0.250, 0.250) (multiplicity 8)